{
  "formula": "KTa2W",
  "functional": "GGA-PBE",
  "state": "relaxed",
  "lattice_angstrom": [[4.5161, 0.0000, 0.0000], [0.0000, 2.8579, 0.0436], [0.0000, 1.3634, 7.8766]],
  "species": ["K", "Ta", "Ta", "W"],
  "frac_coords": [[0.5000, 0.7167, 0.7413], [0.0000, 0.9458, 0.0977], [0.5000, 0.2780, 0.2596], [0.0000, 0.5596, 0.4015]],
  "total_energy_ev_per_atom": -8.5472,
  "de_polymorph_mev_per_atom": 273,
  "delta_e_f_ev_per_atom": 0.892
}


{
  "formula": "KTa2W",
  "functional": "GGA-PBE",
  "state": "relaxed",
  "lattice_angstrom": [[0.0000, 3.3979, 3.3979], [3.3979, 0.0000, 3.3979], [3.3979, 3.3979, 0.0000]],
  "species": ["K", "W", "Ta", "Ta"],
  "frac_coords": [[0.0000, 0.0000, 0.0000], [0.5000, 0.5000, 0.5000], [0.2500, 0.2500, 0.2500], [0.7500, 0.7500, 0.7500]],
  "total_energy_ev_per_atom": -8.0220,
  "de_polymorph_mev_per_atom": 798,
  "delta_e_f_ev_per_atom": 1.417
}


{
  "formula": "K2TaW",
  "functional": "GGA-PBE",
  "state": "relaxed",
  "lattice_angstrom": [[3.4273, 0.0000, 0.0000], [0.0000, 3.4291, -0.0059], [0.0000, 3.5807, 10.9974]],
  "species": ["K", "K", "Ta", "W"],
  "frac_coords": [[0.0000, 0.0634, 0.9242], [0.5000, 0.1968, 0.3161], [0.0000, 0.4208, 0.5808], [0.5000, 0.8190, 0.6789]],
  "total_energy_ev_per_atom": -5.8793,
  "de_polymorph_mev_per_atom": 0,
  "delta_e_f_ev_per_atom": 0.871
}


{
  "formula": "KTa2W",
  "functional": "GGA-PBE",
  "state": "relaxed",
  "lattice_angstrom": [[-2.4483, -1.6176, -1.8350], [-1.7559, -0.6453, 2.9117], [-4.2010, 7.3774, -0.8984]],
  "species": ["K", "Ta", "Ta", "W"],
  "frac_coords": [[0.5000, 0.5000, 0.7364], [0.0000, 0.0000, 0.1022], [0.5000, 0.5000, 0.2600], [0.0000, 0.0000, 0.4014]],
  "total_energy_ev_per_atom": -8.5588,
  "de_polymorph_mev_per_atom": 261,
  "delta_e_f_ev_per_atom": 0.880
}